Material: Ho3VO7
Method: DFT, PBE+U
State: relaxed

```
data_Ho3VO7
_cell_length_a 7.4997
_cell_length_b 10.3344
_cell_length_c 7.2861
_cell_angle_alpha 90.00
_cell_angle_beta 90.00
_cell_angle_gamma 90.00
_space_group_name_H-M_alt 'C 2 2 21'
_space_group_IT_number 20
_space_group_name_Hall 'C 2c 2'
loop_
_atom_site_label
_atom_site_fract_x
_atom_site_fract_y
_atom_site_fract_z
_atom_site_occupancy
Ho1 0.0492 0.0000 0.0000 1
Ho2 0.2308 0.2716 0.7616 1
V1 0.0065 0.5000 0.0000 1
O1 0.0000 0.1292 0.2500 1
O2 0.0000 0.1402 0.7500 1
O3 0.0000 0.4390 0.7500 1
O4 0.1667 0.3742 0.0469 1
O5 0.1991 0.3769 0.4780 1
```

Computed properties:
* density: 7.736 g/cm3
* final energy: -8.171 eV/atom